Compound: B6O
Source: Alexandria
Functional: PBEsol
Structure: relaxed

The structure in POSCAR format:
```
B6O
1.0
-0.696 -1.609 -4.821
4.219 -0.904 -2.775
1.116 -4.908 -0.991
B O
12 2
direct
0.324 0.798 0.798
0.998 0.998 0.667
0.002 0.002 0.333
0.202 0.676 0.202
0.202 0.202 0.676
0.676 0.202 0.202
0.333 0.002 0.002
0.798 0.324 0.798
0.002 0.333 0.002
0.998 0.667 0.998
0.798 0.798 0.324
0.667 0.998 0.998
0.378 0.378 0.378
0.622 0.622 0.622
```

Calculated values
electronic total energy	-7.50	eV per atom

---

Compound: SrCd2Br
Source: Alexandria
Functional: PBEsol
Structure: relaxed

The structure in POSCAR format:
```
SrCd2Br
1.0
-0.973 0.445 5.421
0.674 -4.383 3.297
4.205 -0.142 3.583
Br Sr Cd
1 1 2
direct
0.000 0.000 0.000
0.500 0.500 0.500
0.250 0.250 0.250
0.750 0.750 0.750
```

Calculated values
relative energy among the computed polymorphs	399.6	meV per atom
electronic total energy	-1.80	eV per atom

---

Compound: Ca2RhSe
Source: Alexandria
Functional: PBEsol
Structure: relaxed

The structure in POSCAR format:
```
Ca2RhSe
1.0
-2.858 -2.492 0.054
-0.777 -2.060 -3.087
3.479 -6.844 1.363
Ca Rh Se
2 1 1
direct
0.747 0.747 0.758
0.253 0.253 0.242
0.500 0.500 0.500
0.000 0.000 0.000
```

Calculated values
electronic total energy	-4.84	eV per atom

---

Question: What is the formula in the second record?
Answer: SrCd2Br

---

Question: The highest electronic total energy belongs to which entry?
Answer: SrCd2Br

---

Question: What is the electronic total energy in the second record?
Answer: -1.80 eV per atom

---

Question: The highest electronic total energy belongs to which entry?
Answer: SrCd2Br